Entry 1:
This record from Alexandria via LeMat-Bulk describes a relaxed Rb2AgBBr6 crystal. The functional is GGA-PBE.

```
Rb2AgBBr6
1.0
-6.422 2.096 -3.176
-2.280 -7.108 -0.082
-6.730 -1.803 3.646
B Br Rb Ag
1 6 2 1
Direct
0.500 0.500 0.000 B
0.218 0.218 0.564 Br
0.782 0.782 0.436 Br
0.293 0.293 0.000 Br
0.707 0.707 0.000 Br
0.707 0.293 0.000 Br
0.293 0.707 0.000 Br
0.750 0.250 0.500 Rb
0.250 0.750 0.500 Rb
0.000 0.000 0.000 Ag
```

Properties
M_tot = 0.00 μB per formula unit
energy relative to the elements, uncorrected = -0.6889 eV per atom

---

Entry 2:
This record from Alexandria via LeMat-Bulk describes a relaxed RbAgB2Br8 crystal. The functional is GGA-PBE.

```
RbAgB2Br8
1.0
6.537 0.000 0.000
3.269 5.661 0.000
3.269 1.887 9.892
Rb Ag B Br
1 1 2 8
Direct
0.500 0.500 0.500 Rb
0.000 0.000 0.000 Ag
0.252 0.252 0.245 B
0.748 0.748 0.755 B
0.183 0.183 0.450 Br
0.564 0.285 0.179 Br
0.817 0.817 0.550 Br
0.972 0.564 0.179 Br
0.028 0.436 0.821 Br
0.285 0.972 0.179 Br
0.715 0.028 0.821 Br
0.436 0.715 0.821 Br
```

Properties
M_tot = 0.00 μB per formula unit
energy relative to the elements, uncorrected = -0.6621 eV per atom